[1]
# PBE Be2InTe, optimized geometry
data_Be2InTe
_chemical_formula_sum 'Be2 In1 Te1'
_symmetry_space_group_name_H-M 'P m m m'
_symmetry_Int_Tables_number 47
_cell_length_a 3.647
_cell_length_b 3.734
_cell_length_c 5.871
_cell_angle_alpha 90.00
_cell_angle_beta 90.00
_cell_angle_gamma 90.00
loop_
_symmetry_equiv_pos_as_xyz
'x,y,z'
'-x,-y,-z'
'-x,-y,z'
'x,y,-z'
'x,-y,-z'
'-x,y,z'
'-x,y,-z'
'x,-y,z'
loop_
_atom_site_label
_atom_site_type_symbol
_atom_site_fract_x
_atom_site_fract_y
_atom_site_fract_z
Be1 Be 0.000 0.000 0.000
Be2 Be 0.000 0.500 0.500
In1 In 0.500 0.000 0.500
Te1 Te 0.500 0.500 0.000
# - Total energy: -2.72 eV/atom
# - Offset from the most stable computed form: 306.5 meV/atom

[2]
# PBE Be2InTe, optimized geometry
data_Be2InTe
_chemical_formula_sum 'Be4 In2 Te2'
_symmetry_space_group_name_H-M 'I -4 m 2'
_symmetry_Int_Tables_number 119
_symmetry_space_group_name_Hall 'I -4 -2'
_cell_length_a 3.708
_cell_length_b 3.708
_cell_length_c 11.524
_cell_angle_alpha 90.00
_cell_angle_beta 90.00
_cell_angle_gamma 90.00
loop_
_atom_site_label
_atom_site_type_symbol
_atom_site_fract_x
_atom_site_fract_y
_atom_site_fract_z
Be1 Be 0.000 0.000 0.000
Be2 Be 0.000 0.500 0.250
In1 In 0.000 0.500 0.750
Te1 Te 0.000 0.000 0.500
# - Total energy: -2.75 eV/atom
# - Offset from the most stable computed form: 278.3 meV/atom

[3]
# PBE BeIn2Te, optimized geometry
data_BeIn2Te
_chemical_formula_sum 'Be2 In4 Te2'
_symmetry_space_group_name_H-M 'C 1 2 1'
_symmetry_Int_Tables_number 5
_cell_length_a 5.237
_cell_length_b 10.438
_cell_length_c 3.810
_cell_angle_alpha 90.00
_cell_angle_beta 94.02
_cell_angle_gamma 90.00
loop_
_symmetry_equiv_pos_as_xyz
'x,y,z'
'-x,y,-z'
'x+1/2,y+1/2,z'
'-x+1/2,y+1/2,-z'
loop_
_atom_site_label
_atom_site_type_symbol
_atom_site_fract_x
_atom_site_fract_y
_atom_site_fract_z
Be1 Be 0.000 0.000 0.000
In1 In 0.000 0.182 0.500
In2 In 0.000 0.537 0.000
Te1 Te 0.000 0.849 0.500
# - Total energy: -2.97 eV/atom
# - Offset from the most stable computed form: 50.0 meV/atom